1.
A plane-wave DFT calculation with PBE was carried out for crystalline MgRe at its relaxed geometry.

Summary:
Energy above the most stable polymorph in this dataset, eV/atom: 0.2329
Formation enthalpy at 0 K, eV/atom: 0.30

Cell and atoms, written as POSCAR:
```
MgRe
1.0
8.054 0.000 0.000
-4.027 6.975 0.000
0.000 0.000 4.075
Re Mg
6 6
Direct
0.883 0.441 0.750 Re
0.441 0.883 0.250 Re
0.117 0.559 0.250 Re
0.559 0.117 0.750 Re
0.441 0.559 0.250 Re
0.559 0.441 0.750 Re
0.335 0.168 0.250 Mg
0.832 0.665 0.250 Mg
0.168 0.335 0.750 Mg
0.168 0.832 0.750 Mg
0.665 0.832 0.750 Mg
0.832 0.168 0.250 Mg
```

=====

2.
A plane-wave DFT calculation with PBE was carried out for crystalline KIn3Au at its relaxed geometry.

Summary:
Energy above the most stable polymorph in this dataset, eV/atom: 0.2137
Formation enthalpy at 0 K, eV/atom: -0.01

Cell and atoms, written as POSCAR:
```
KIn3Au
1.0
-5.034 1.264 -1.832
-2.190 -2.002 4.636
0.398 4.969 2.334
In Au K
3 1 1
Direct
0.000 0.000 0.500 In
0.000 0.500 0.000 In
0.500 0.000 0.000 In
0.000 0.000 0.000 Au
0.500 0.500 0.500 K
```

=====

3.
A plane-wave DFT calculation with PBE was carried out for crystalline TaCo3Tc at its relaxed geometry.

Summary:
Energy above the most stable polymorph in this dataset, eV/atom: 0.0000
Formation enthalpy at 0 K, eV/atom: 1.38

Cell and atoms, written as POSCAR:
```
TaCo3Tc
1.0
4.309 0.000 0.000
0.000 4.309 0.000
0.000 0.000 4.309
Co Ta Tc
3 1 1
Direct
0.500 0.000 0.000 Co
0.000 0.000 0.500 Co
0.000 0.500 0.000 Co
0.500 0.500 0.500 Ta
0.000 0.000 0.000 Tc
```

=====

4.
A plane-wave DFT calculation with PBE was carried out for crystalline Tm2Cu2Pt at its relaxed geometry.

Summary:
Formation enthalpy at 0 K, eV/atom: -0.58

Cell and atoms, written as POSCAR:
```
Tm2Cu2Pt
1.0
-3.297 -5.771 -2.273
0.014 -2.581 6.533
-6.675 3.296 1.316
Cu Tm Pt
8 8 4
Direct
0.879 0.621 0.250 Cu
0.121 0.379 0.250 Cu
0.121 0.379 0.750 Cu
0.879 0.621 0.750 Cu
0.379 0.879 0.750 Cu
0.621 0.121 0.750 Cu
0.621 0.121 0.250 Cu
0.379 0.879 0.250 Cu
0.683 0.817 0.000 Tm
0.183 0.683 0.000 Tm
0.317 0.183 0.500 Tm
0.183 0.683 0.500 Tm
0.817 0.317 0.000 Tm
0.683 0.817 0.500 Tm
0.817 0.317 0.500 Tm
0.317 0.183 0.000 Tm
0.500 0.500 0.750 Pt
0.500 0.500 0.250 Pt
0.000 0.000 0.750 Pt
0.000 0.000 0.250 Pt
```

=====

5.
A plane-wave DFT calculation with PBE was carried out for crystalline Mg2TlTePb at its relaxed geometry.

Summary:
ΔE_f (raw), eV per atom: 0.224
Energy above the most stable polymorph in this dataset, eV/atom: 0.0000

Cell and atoms, written as POSCAR:
```
Mg2TlTePb
1.0
-4.536 0.500 2.999
0.718 -5.928 2.075
2.976 1.829 4.197
Te Pb Mg Tl
1 1 2 1
Direct
0.000 0.500 0.000 Te
0.000 0.000 0.000 Pb
0.000 0.000 0.500 Mg
0.500 0.000 0.000 Mg
0.500 0.500 0.500 Tl
```

=====

6.
A plane-wave DFT calculation with PBE was carried out for crystalline Fe2Rh at its relaxed geometry.

Summary:
Formation enthalpy at 0 K, eV/atom: 0.84

Cell and atoms, written as POSCAR:
```
Fe2Rh
1.0
5.812 0.000 0.000
0.000 5.812 0.000
0.000 0.000 5.812
Fe Rh
8 4
Direct
0.877 0.123 0.623 Fe
0.377 0.377 0.377 Fe
0.877 0.377 0.123 Fe
0.623 0.877 0.123 Fe
0.377 0.123 0.877 Fe
0.123 0.623 0.877 Fe
0.623 0.623 0.623 Fe
0.123 0.877 0.377 Fe
0.500 0.000 0.500 Rh
0.000 0.000 0.000 Rh
0.000 0.500 0.500 Rh
0.500 0.500 0.000 Rh
```

=====

7.
A plane-wave DFT calculation with PBE was carried out for crystalline BaSc2Ag2 at its relaxed geometry.

Summary:
Energy above the most stable polymorph in this dataset, eV/atom: 0.1215
Formation enthalpy at 0 K, eV/atom: 0.07

Cell and atoms, written as POSCAR:
```
BaSc2Ag2
1.0
-3.842 -2.220 2.735
2.826 0.472 4.354
-2.689 3.995 4.433
Ag Ba Sc
2 1 2
Direct
0.250 0.750 0.500 Ag
0.750 0.250 0.500 Ag
0.000 0.000 0.000 Ba
0.350 0.350 0.300 Sc
0.650 0.650 0.700 Sc
```

=====

8.
A plane-wave DFT calculation with PBE was carried out for crystalline Ca2CoSi4Pt3 at its relaxed geometry.

Summary:
ΔE_f (raw), eV per atom: -0.867

Cell and atoms, written as POSCAR:
```
Ca2CoSi4Pt3
1.0
-0.251 0.991 -3.951
-3.933 -1.088 -0.023
-2.649 9.523 2.558
Ca Co Pt Si
2 1 3 4
Direct
0.500 0.000 0.252 Ca
0.000 0.500 0.748 Ca
0.500 0.500 0.500 Co
0.000 0.500 0.133 Pt
0.500 0.000 0.867 Pt
0.000 0.000 0.500 Pt
0.500 0.000 0.627 Si
0.000 0.500 0.373 Si
0.000 0.000 0.000 Si
0.500 0.500 0.000 Si
```

=====

9.
A plane-wave DFT calculation with PBE was carried out for crystalline LiPuIr at its relaxed geometry.

Summary:
Energy above the most stable polymorph in this dataset, eV/atom: 0.0000
Formation enthalpy at 0 K, eV/atom: -0.38

Cell and atoms, written as POSCAR:
```
LiPuIr
1.0
-1.560 -0.708 -3.482
3.526 0.162 -1.612
0.860 -7.466 1.132
Li Pu Ir
2 2 2
Direct
0.000 0.000 0.500 Li
0.500 0.500 0.500 Li
0.500 0.000 0.156 Pu
0.000 0.500 0.844 Pu
0.500 0.000 0.772 Ir
0.000 0.500 0.228 Ir
```

=====

10.
A plane-wave DFT calculation with PBE was carried out for crystalline Ac2USb at its relaxed geometry.

Summary:
ΔE_f (raw), eV per atom: 0.454
Energy above the most stable polymorph in this dataset, eV/atom: 0.4503

Cell and atoms, written as POSCAR:
```
Ac2USb
1.0
-3.324 1.353 0.162
-2.841 -2.194 -0.145
-1.879 -1.335 12.460
Ac Sb U
2 1 1
Direct
0.093 0.093 0.722 Ac
0.907 0.907 0.278 Ac
0.500 0.500 0.500 Sb
0.000 0.000 0.000 U
```

=====

11.
A plane-wave DFT calculation with PBE was carried out for crystalline Ta2RhAu at its relaxed geometry.

Summary:
Formation enthalpy at 0 K, eV/atom: -0.25

Cell and atoms, written as POSCAR:
```
Ta2RhAu
1.0
6.345 0.001 0.013
-2.523 4.298 -0.010
1.302 0.769 2.452
Ta Au Rh
2 1 1
Direct
0.500 0.000 0.500 Ta
0.000 0.000 0.000 Ta
0.000 0.500 0.500 Au
0.500 0.500 0.000 Rh
```

=====

12.
A plane-wave DFT calculation with PBE was carried out for crystalline Li2TbEr2Sn2 at its relaxed geometry.

Summary:
Formation enthalpy at 0 K, eV/atom: -0.44

Cell and atoms, written as POSCAR:
```
Li2TbEr2Sn2
1.0
4.773 0.000 0.000
2.387 4.134 0.000
2.387 1.378 8.755
Li Er Sn Tb
2 2 2 1
Direct
0.596 0.596 0.213 Li
0.404 0.404 0.787 Li
0.129 0.129 0.612 Er
0.871 0.871 0.388 Er
0.262 0.262 0.213 Sn
0.738 0.738 0.787 Sn
0.000 0.000 0.000 Tb
```

=====

Number 1: energy -6.722 eV/atom. Number 2: energy -2.523 eV/atom. Number 3: energy -7.331 eV/atom. Number 4: energy -5.216 eV/atom. Number 5: energy -2.257 eV/atom. Number 6: energy -7.249 eV/atom. Number 7: energy -3.987 eV/atom. Number 8: energy -5.959 eV/atom. Number 9: energy -8.748 eV/atom. Number 10: energy -5.453 eV/atom. Number 11: energy -8.832 eV/atom. Number 12: energy -4.095 eV/atom.